! SrCdSn2Pd PBE relaxed; values from VASP
&SYSTEM
  ibrav = 0, nat = 10, ntyp = 4
/
ATOMIC_SPECIES
Sr 87.62 Sr.upf
Cd 112.41 Cd.upf
Sn 118.71 Sn.upf
Pd 106.42 Pd.upf
ATOMIC_POSITIONS crystal
Sr 0.000 0.000 0.000
Sr 0.500 0.500 0.500
Cd 0.000 0.500 0.750
Cd 0.500 0.000 0.250
Sn 0.000 0.000 0.380
Sn 0.000 0.000 0.620
Sn 0.500 0.500 0.120
Sn 0.500 0.500 0.880
Pd 0.000 0.500 0.250
Pd 0.500 0.000 0.750
CELL_PARAMETERS angstrom
4.662 0.000 0.000
0.000 4.662 0.000
0.000 0.000 11.942
! * uncorrected energy: -36.4 eV/cell
! * magnetic moment: 0.00 μB per cell
! * symmetry: No. 119
! * calculated formation energy: -46 kJ per mole of atoms
! * ρ: 7.0 g cm⁻³